Material: SiNi3F
Method: DFT, GGA+U
State: optimized geometry

Lattice parameters (Å, degrees): 4.0533 4.0533 4.0533 90.00 90.00 90.00
Last column: magnetic moment on the atom in μB.
Fractional coordinates of all 5 atoms:
Ni 0.5000 0.0000 0.0000  0.98
Ni 0.0000 0.0000 0.5000  1.02
Ni 0.0000 0.5000 0.0000  1.01
F 0.0000 0.0000 0.0000  0.07
Si 0.5000 0.5000 0.5000  0.02

Values from the calculation:
SG   Pm-3m
ρ   5.56 g cm⁻³
Calculated volume   66.6 Å³/cell
Energy relative to the lowest polymorph listed for this composition   0.000 eV/atom